[1]
VASP calculation (PBE-GGA) on an optimized crystal structure of Sb5Os4.

Unit cell a=8.2769 b=8.2769 c=5.8546 alpha=90.00 beta=90.00 gamma=120.00
Fractional positions:
Sb: 0.0000 0.6962 0.2500
Sb: 0.3038 0.3038 0.2500
Sb: 0.6962 0.0000 0.2500
Sb: 0.0000 0.3038 0.7500
Sb: 0.6962 0.6962 0.7500
Sb: 0.3038 0.0000 0.7500
Sb: 0.6667 0.3333 0.0000
Sb: 0.3333 0.6667 0.5000
Sb: 0.3333 0.6667 0.0000
Sb: 0.6667 0.3333 0.5000
Os: 0.0000 0.0000 0.0000
Os: 0.0000 0.0000 0.5000
Os: 0.0000 0.3286 0.2500
Os: 0.6714 0.6714 0.2500
Os: 0.3286 0.0000 0.2500
Os: 0.0000 0.6714 0.7500
Os: 0.3286 0.3286 0.7500
Os: 0.6714 0.0000 0.7500

Properties
Symmetry: P6_3/mcm, No. 193
Formation energy (no corrections) in eV/atom: 0.7577

=====

[2]
VASP calculation (PBE-GGA) on an optimized crystal structure of P2IrRu.

Unit cell a=5.3076 b=5.3076 c=5.3076 alpha=147.93 beta=134.21 gamma=56.99
Fractional positions:
Ir: 0.2288 0.7288 0.5000
P: 0.0141 0.0141 0.0000
P: 0.7329 0.2329 0.5000
Ru: 0.5242 0.5242 0.0000

Properties
Formation energy in kJ/mol of atoms: 0
Symmetry: Imm2, No. 44

=====

[3]
VASP calculation (PBE-GGA) on an optimized crystal structure of LaPm3Ho6Th2.

Unit cell a=6.2323 b=6.2323 c=11.7265 alpha=95.09 beta=95.09 gamma=119.99
Fractional positions:
La: 0.0000 0.0000 0.0000
Pm: 0.1664 0.8336 0.5000
Pm: 0.8336 0.1664 0.5000
Pm: 0.5000 0.5000 0.5000
Ho: 0.9178 0.5791 0.7535
Ho: 0.7434 0.7434 0.2466
Ho: 0.0822 0.4209 0.2465
Ho: 0.5791 0.9178 0.7535
Ho: 0.2566 0.2566 0.7534
Ho: 0.4209 0.0822 0.2465
Th: 0.3334 0.6666 0.0000
Th: 0.6666 0.3334 0.0000

Properties
Formation energy in kJ/mol of atoms: 2
Symmetry: C2/m, No. 12

=====

[4]
VASP calculation (PBE-GGA) on an optimized crystal structure of CdHgRhPb2.

Unit cell a=5.2548 b=5.2548 c=5.3349 alpha=90.00 beta=90.00 gamma=90.00
Fractional positions:
Pb: 0.0000 0.5000 0.0000
Pb: 0.5000 0.0000 0.0000
Rh: 0.0000 0.0000 0.0000
Hg: 0.0000 0.0000 0.5000
Cd: 0.5000 0.5000 0.5000

Properties
Formation energy in kJ/mol of atoms: 11
Symmetry: P4/mmm, No. 123